# CaGa6Pt4, optimized geometry, DFT PBE
data_CaGa6Pt4
_symmetry_space_group_name_H-M 'P -6 m 2'
_symmetry_Int_Tables_number 187
_symmetry_space_group_name_Hall 'P -6 2'
_cell_length_a 7.4369
_cell_length_b 7.4369
_cell_length_c 4.0312
_cell_angle_alpha 90.00
_cell_angle_beta 90.00
_cell_angle_gamma 120.00
loop_
_atom_site_label
_atom_site_type_symbol
_atom_site_fract_x
_atom_site_fract_y
_atom_site_fract_z
Ca1 Ca 0.0000 0.0000 0.0000
Ga1 Ga 0.1944 0.3887 0.5000
Ga2 Ga 0.5337 0.0675 0.0000
Pt1 Pt 0.3333 0.6667 0.0000
Pt2 Pt 0.4034 0.2017 0.5000
# DOS(E_F)	2.710	states/eV/cell
# formation energy	-0.727	eV/atom